# 1
VASP calculation (PBE-GGA) on a geometry-optimized SrYAl2 structure.

Unit cell a=3.5124 b=3.5124 c=8.8867 alpha=90.00 beta=90.00 gamma=90.00
With the nearest neighbours (Å) after each atom.
Positions (direct):
Sr: 0.0000 0.0000 0.0000  5 Al 3.45-3.71, 4 Sr 3.51
Y: 0.5000 0.5000 0.3628  5 Al 3.16-3.27, 4 Y 3.51
Al: 0.0000 0.0000 0.5828  4 Al 2.81
Al: 0.5000 0.5000 0.7312  4 Al 2.81

For the energy relative to the lowest polymorph listed for this composition, the calculation gives 177 meV per atom.

***

# 2
VASP calculation (PBE-GGA) on a geometry-optimized SrYAl2 structure.

Unit cell a=3.7596 b=3.7596 c=7.5825 alpha=90.00 beta=90.00 gamma=90.00
With the nearest neighbours (Å) after each atom.
Positions (direct):
Sr: 0.0000 0.0000 0.0000  8 Al 3.43, 4 Sr 3.76, 2 Y 3.79
Y: 0.0000 0.0000 0.5000  8 Al 3.12
Al: 0.5000 0.5000 0.2856  4 Y 3.12, 1 Al 3.25, 4 Sr 3.43
Al: 0.5000 0.5000 0.7144  4 Y 3.12, 1 Al 3.25, 4 Sr 3.43

For the energy relative to the lowest polymorph listed for this composition, the calculation gives 0 meV per atom.

***

# 3
VASP calculation (PBE-GGA) on a geometry-optimized SrY2Al structure.

Unit cell a=6.7725 b=6.7725 c=3.4783 alpha=103.22 beta=103.22 gamma=118.94
With the nearest neighbours (Å) after each atom.
Positions (direct):
Sr: 0.0000 0.0000 0.0000  4 Y 3.43, 4 Al 3.44-3.63, 2 Sr 3.48
Y: 0.0000 0.5000 0.5000  2 Al 3.43, 2 Sr 3.43, 6 Y 3.44-3.63
Y: 0.5000 0.0000 0.5000  2 Al 3.43, 2 Sr 3.43, 6 Y 3.44-3.63
Al: 0.5000 0.5000 0.0000  4 Y 3.43, 4 Sr 3.44-3.63, 2 Al 3.48

***

DFT formation energy (computed, eV/f.u.): -0.3, -1.0, 0.6